{
  "formula": "Tb4Pr3Sc",
  "functional": "PBE",
  "state": "optimized geometry",
  "e_tot_ev_per_atom": -4.860,
  "magmom_total_mub_per_fu": 0.00,
  "n_ef_per_ev_atom": 1.7561,
  "space_group": "Pmn2_1 (31)",
  "de_polymorph_mev_per_atom": 0,
  "cell": [[-2.6836, 5.6627, 0.4132], [-5.0087, -2.0152, -4.9136], [-6.7606, -3.8211, 8.4585]],
  "species": ["Tb", "Tb", "Tb", "Tb", "Pr", "Pr", "Sc", "Tb", "Pr", "Tb", "Pr", "Tb", "Pr", "Tb", "Pr", "Sc"],
  "fractional_positions": [[0.9852, 0.1246, 0.7560], [0.6462, 0.1240, 0.0000], [0.9852, 0.1246, 0.2440], [0.1509, 0.8762, 0.0000], [0.9789, 0.6233, 0.7504], [0.9789, 0.6233, 0.2496], [0.6435, 0.6303, 0.5000], [0.4852, 0.8754, 0.7440], [0.6465, 0.6268, 0.0000], [0.4852, 0.8754, 0.2560], [0.4789, 0.3767, 0.2504], [0.1462, 0.8760, 0.5000], [0.1465, 0.3732, 0.5000], [0.6509, 0.1238, 0.5000], [0.4789, 0.3767, 0.7496], [0.1435, 0.3697, 0.0000]]
}